The following is a DFT calculation (PBE) of an optimized crystal structure of Tb2Al2PdPt3.

Results
The value obtained for the total energy is -6.144 eV per atom.

a = 4.3550 Å, b = 4.3550 Å, c = 9.2699 Å
α = 90.00°, β = 90.00°, γ = 120.00°
Sites, in units of the cell vectors:
Al  0.3333  0.6667  0.4994
Al  0.3333  0.6667  0.9940
Pd  0.0000  0.0000  0.0829
Pt  0.6667  0.3333  0.5818
Pt  0.6667  0.3333  0.9236
Pt  0.0000  0.0000  0.4159
Tb  0.0000  0.0000  0.7492
Tb  0.6667  0.3333  0.2531